Record 1
Er5Os2Au PBE optimized geometry; electronic total energy = -6.53 eV per atom; calculated density = 12301 kg/m³; space group = I4/mcm (140); ΔE_f = -45 kJ per mole of atoms; D(E_F) = 11.08 states/eV per cell
1.0
-3.8221 3.8221 6.5317
3.8221 -3.8221 6.5317
3.8221 3.8221 -6.5317
Er Os Au
10 4 2
direct
0.0000 0.0000 0.0000
0.0242 0.5242 0.8192
0.2050 0.0242 0.5000
0.2950 0.7950 0.8192
0.4758 0.2950 0.5000
0.5000 0.5000 0.0000
0.5242 0.7050 0.5000
0.7050 0.2050 0.1808
0.7950 0.9758 0.5000
0.9758 0.4758 0.1808
0.1400 0.3600 0.5000
0.3600 0.8600 0.2200
0.6400 0.1400 0.7800
0.8600 0.6400 0.5000
0.2500 0.2500 0.0000
0.7500 0.7500 0.0000

Record 2
Er5OsAu4 PBE optimized geometry; electronic total energy = -5.47 eV per atom; calculated density = 13722 kg/m³; space group = P4/mmm (123); ΔE_f = -73 kJ per mole of atoms; D(E_F) = 5.35 states/eV per cell
1.0
3.4971 0.0000 0.0000
0.0000 3.4971 0.0000
0.0000 0.0000 17.9536
Er Os Au
5 1 4
direct
0.0000 0.0000 0.0000
0.0000 0.0000 0.2040
0.0000 0.0000 0.4089
0.0000 0.0000 0.5911
0.0000 0.0000 0.7960
0.5000 0.5000 0.5000
0.5000 0.5000 0.1004
0.5000 0.5000 0.3035
0.5000 0.5000 0.6965
0.5000 0.5000 0.8996

Record 3
ErPuOsAu PBE optimized geometry; electronic total energy = -8.62 eV per atom; calculated density = 15655 kg/m³; space group = F-43m (216); ΔE_f = -26 kJ per mole of atoms; D(E_F) = 9.08 states/eV per cell
1.0
0.0000 3.4855 3.4855
3.4855 0.0000 3.4855
3.4855 3.4855 0.0000
Er Pu Os Au
1 1 1 1
direct
0.0000 0.0000 0.0000
0.5000 0.5000 0.5000
0.2500 0.2500 0.2500
0.7500 0.7500 0.7500